First-principles (PBE-GGA) data for a geometry-optimized Pm3Er4Sc5 structure, as listed in Alexandria via LeMat-Bulk.

Properties
Calculated volume = 29.374 Å³/atom
M_tot = 0.1 Bohr magnetons per cell
E_form = 244.1 meV/atom

a = 15.3296 Å, b = 5.6968 Å, c = 9.3642 Å
α = 90.00°, β = 120.45°, γ = 90.00°
Closest atoms and distances in Å follow each position.
Space group C2/m (No. 12)
Symmetry-distinct sites (fractional):
Pm (0.0000, 0.0000, 0.0000) [2 per cell]  4 Sc 2.85-2.99
Pm (0.2339, 0.5000, 0.2692) [4 per cell]  5 Sc 3.04-3.27, 1 Er 3.40
Er (0.0853, 0.5000, 0.4425) [4 per cell]  6 Sc 3.28-3.66, 2 Er 3.29-3.54, 1 Pm 3.40
Er (0.2040, 0.5000, 0.8803) [4 per cell]  3 Pm 3.43-3.51, 3 Er 3.45-3.54, 5 Sc 3.49-3.82
Sc (0.0000, 0.5000, 0.0000) [2 per cell]  4 Pm 2.85-3.17
Sc (0.0583, 0.0000, 0.6980) [4 per cell]  2 Pm 3.04-3.37, 2 Sc 3.20-3.22
Sc (0.1662, 0.0000, 0.3542) [4 per cell]  4 Pm 2.99-3.27, 1 Sc 3.22, 1 Er 3.28